Record 1
{
  "formula": "YHoGaSn",
  "functional": "PBE",
  "state": "optimized geometry",
  "crystal_system": "orthorhombic",
  "magnetic_moment_mub_per_fu": 0.0,
  "spacegroup": "Amm2, No. 38",
  "energy_ev_per_cell": -20.927,
  "lattice_angstrom": [[4.4531, 0.0000, 0.0000], [0.0000, 4.1553, 0.0000], [-2.2266, 0.0000, 5.5597]],
  "species": ["Y", "Ho", "Ga", "Sn"],
  "frac_coords": [[0.1356, 0.0000, 0.2713], [0.8572, 0.5000, 0.7144], [0.5879, 0.5000, 0.1758], [0.4193, 0.0000, 0.8385]]
}


Record 2
{
  "formula": "YHoGaSn",
  "functional": "PBE",
  "state": "optimized geometry",
  "crystal_system": "cubic",
  "magnetic_moment_mub_per_fu": 0.0,
  "spacegroup": "F-43m, No. 216",
  "energy_ev_per_cell": -20.269,
  "lattice_angstrom": [[-2.0352, -3.5775, 3.1982], [3.0784, -3.5922, 2.1883], [1.0096, 0.1965, 5.1099]],
  "species": ["Y", "Ho", "Ga", "Sn"],
  "frac_coords": [[0.7500, 0.7500, 0.7500], [0.2500, 0.2500, 0.2500], [0.5000, 0.5000, 0.5000], [0.0000, 0.0000, 0.0000]]
}


Record 3
{
  "formula": "HoZnGaSn",
  "functional": "PBE",
  "state": "optimized geometry",
  "crystal_system": "orthorhombic",
  "magnetic_moment_mub_per_fu": 0.0,
  "spacegroup": "Pmmm, No. 47",
  "energy_ev_per_cell": -14.664,
  "lattice_angstrom": [[-2.9081, 0.9450, 3.0650], [-2.7902, -2.8029, -1.7831], [1.6506, -3.2834, 2.5784]],
  "species": ["Ho", "Zn", "Ga", "Sn"],
  "frac_coords": [[0.5000, 0.0000, 0.5000], [0.5000, 0.5000, 0.0000], [0.0000, 0.5000, 0.5000], [0.0000, 0.0000, 0.0000]]
}


Record 4
{
  "formula": "SrHo2Ga",
  "functional": "PBE",
  "state": "optimized geometry",
  "crystal_system": "tetragonal",
  "magnetic_moment_mub_per_fu": 0.0,
  "spacegroup": "P4/mmm, No. 123",
  "energy_ev_per_cell": -14.587,
  "lattice_angstrom": [[-1.7649, 1.7523, 2.6467], [-2.1940, -2.8618, 0.4317], [6.0239, -3.6480, 6.4322]],
  "species": ["Sr", "Ho", "Ho", "Ga"],
  "frac_coords": [[0.5000, 0.5000, 0.5000], [0.0000, 0.0000, 0.8213], [0.0000, 0.0000, 0.1787], [0.5000, 0.5000, 0.0000]]
}


Record 5
{
  "formula": "SrHo2Ga6",
  "functional": "PBE",
  "state": "optimized geometry",
  "crystal_system": "hexagonal",
  "magnetic_moment_mub_per_fu": 0.0,
  "spacegroup": "P6/mmm, No. 191",
  "energy_ev_per_cell": -33.940,
  "lattice_angstrom": [[-4.2329, 0.4261, -0.3685], [0.3894, -2.2078, -7.0258], [-0.9668, -4.9566, 5.3746]],
  "species": ["Sr", "Ho", "Ho", "Ga", "Ga", "Ga", "Ga", "Ga", "Ga"],
  "frac_coords": [[0.0000, 0.0000, 0.0000], [0.0000, 0.3333, 0.6667], [0.0000, 0.6667, 0.3333], [0.5000, 0.3371, 0.3371], [0.5000, 0.6629, 0.6629], [0.5000, 0.0000, 0.6629], [0.5000, 0.6629, 0.0000], [0.5000, 0.3371, 0.0000], [0.5000, 0.0000, 0.3371]]
}


Record 6
{
  "formula": "SrHoGa4",
  "functional": "PBE",
  "state": "optimized geometry",
  "crystal_system": "tetragonal",
  "magnetic_moment_mub_per_fu": 0.0,
  "spacegroup": "I-4m2, No. 119",
  "energy_ev_per_cell": -21.405,
  "lattice_angstrom": [[-3.1897, 2.4185, -1.4983], [-2.8258, -2.4324, 2.0895], [3.5924, 4.5296, 5.7599]],
  "species": ["Sr", "Ho", "Ga", "Ga", "Ga", "Ga"],
  "frac_coords": [[0.2500, 0.7500, 0.5000], [0.0000, 0.0000, 0.0000], [0.6639, 0.1639, 0.3279], [0.5801, 0.5801, 0.1602], [0.8361, 0.3361, 0.6721], [0.4199, 0.4199, 0.8398]]
}


Record 7
{
  "formula": "SrHo2Ga",
  "functional": "PBE",
  "state": "optimized geometry",
  "crystal_system": "trigonal",
  "magnetic_moment_mub_per_fu": 0.0,
  "spacegroup": "R-3m, No. 166",
  "energy_ev_per_cell": -13.827,
  "lattice_angstrom": [[3.6707, 0.0000, 0.0000], [1.8354, 3.1789, 0.0000], [1.8354, 1.0596, 11.2791]],
  "species": ["Sr", "Ho", "Ho", "Ga"],
  "frac_coords": [[0.0000, 0.0000, 0.0000], [0.1058, 0.1058, 0.6825], [0.8942, 0.8942, 0.3175], [0.5000, 0.5000, 0.5000]]
}


Record 8
{
  "formula": "SrHoGa",
  "functional": "PBE",
  "state": "optimized geometry",
  "crystal_system": "orthorhombic",
  "magnetic_moment_mub_per_fu": 0.0,
  "spacegroup": "Amm2, No. 38",
  "energy_ev_per_cell": -19.987,
  "lattice_angstrom": [[5.2419, 0.0000, 0.0000], [-2.6210, 2.6165, 0.0000], [0.0000, 0.0000, 13.5675]],
  "species": ["Ga", "Ga", "Ho", "Ho", "Sr", "Sr"],
  "frac_coords": [[0.6935, 0.3870, 0.0000], [0.1954, 0.3907, 0.5000], [0.6952, 0.3904, 0.3786], [0.6952, 0.3904, 0.6214], [0.1937, 0.3874, 0.8494], [0.1937, 0.3874, 0.1506]]
}


Record 9
{
  "formula": "SrHoGa",
  "functional": "PBE",
  "state": "optimized geometry",
  "crystal_system": "tetragonal",
  "magnetic_moment_mub_per_fu": 0.0,
  "spacegroup": "I4mm, No. 107",
  "energy_ev_per_cell": -10.056,
  "lattice_angstrom": [[3.7311, 0.0000, 0.0000], [0.0000, 3.7311, 0.0000], [-1.8656, -1.8656, 6.7051]],
  "species": ["Sr", "Ho", "Ga"],
  "frac_coords": [[0.0226, 0.0226, 0.0453], [0.2924, 0.2924, 0.5847], [0.6850, 0.6850, 0.3700]]
}


Record 10
{
  "formula": "SrHoGa4",
  "functional": "PBE",
  "state": "optimized geometry",
  "crystal_system": "cubic",
  "magnetic_moment_mub_per_fu": 0.0,
  "spacegroup": "F-43m, No. 216",
  "energy_ev_per_cell": -20.892,
  "lattice_angstrom": [[5.6392, 0.0000, 0.0000], [2.8196, 4.8837, 0.0000], [2.8196, 1.6279, 4.6044]],
  "species": ["Sr", "Ho", "Ga", "Ga", "Ga", "Ga"],
  "frac_coords": [[0.2500, 0.2500, 0.2500], [0.0000, 0.0000, 0.0000], [0.6255, 0.6255, 0.1235], [0.6255, 0.1235, 0.6255], [0.6255, 0.6255, 0.6255], [0.1235, 0.6255, 0.6255]]
}


Record 11
{
  "formula": "SrHoZnGa",
  "functional": "PBE",
  "state": "optimized geometry",
  "crystal_system": "cubic",
  "magnetic_moment_mub_per_fu": 0.0,
  "spacegroup": "F-43m, No. 216",
  "energy_ev_per_cell": -11.779,
  "lattice_angstrom": [[-3.0577, 4.2745, 0.2056], [-5.1543, -0.4956, 0.9223], [-2.0123, 1.5752, 4.5969]],
  "species": ["Sr", "Zn", "Ho", "Ga"],
  "frac_coords": [[0.0000, 0.0000, 0.0000], [0.7500, 0.7500, 0.7500], [0.5000, 0.5000, 0.5000], [0.2500, 0.2500, 0.2500]]
}


Record 12
{
  "formula": "HoTaGa2",
  "functional": "PBE",
  "state": "optimized geometry",
  "crystal_system": "trigonal",
  "magnetic_moment_mub_per_fu": 0.0,
  "spacegroup": "R-3m, No. 166",
  "energy_ev_per_cell": -22.728,
  "lattice_angstrom": [[-2.6882, -1.3920, 0.7863], [0.0159, -2.4372, 1.9602], [-1.7919, 4.5825, 8.2074]],
  "species": ["Ho", "Ga", "Ga", "Ta"],
  "frac_coords": [[0.5000, 0.5000, 0.5000], [0.7443, 0.7443, 0.7671], [0.2557, 0.2557, 0.2329], [0.0000, 0.0000, 0.0000]]
}


Record 13
{
  "formula": "HoTaGa2",
  "functional": "PBE",
  "state": "optimized geometry",
  "crystal_system": "tetragonal",
  "magnetic_moment_mub_per_fu": 0.0,
  "spacegroup": "P4/mmm, No. 123",
  "energy_ev_per_cell": -23.435,
  "lattice_angstrom": [[-2.3685, 1.0116, -2.4049], [1.0490, -2.6046, -2.1288], [-4.2188, -3.7914, 2.5600]],
  "species": ["Ho", "Ga", "Ga", "Ta"],
  "frac_coords": [[0.5000, 0.5000, 0.5000], [0.0000, 0.0000, 0.7913], [0.0000, 0.0000, 0.2087], [0.5000, 0.5000, 0.0000]]
}